A plane-wave DFT calculation with PBE-GGA was carried out for an optimized crystal structure of MnInMo2.

It has space group Cmm2 (No. 35), with a = 3.289 Å, b = 4.556 Å, c = 8.758 Å, α = 90.00°, β = 90.00° and γ = 90.00°. The asymmetric unit holds Mn at (0.000, 0.000, 0.000), In at (0.000, 0.500, 0.743), Mo at (0.000, 0.000, 0.467) and Mo at (0.000, 0.500, 0.221).

The calculation puts the formation energy at 0.260 eV/atom.

=====

A plane-wave DFT calculation with PBE-GGA was carried out for an optimized crystal structure of MnIn2Mo.

It has space group Immm (No. 71), with a = 4.125 Å, b = 4.139 Å, c = 8.569 Å, α = 90.00°, β = 90.00° and γ = 90.00°. The asymmetric unit holds Mn at (0.000, 0.000, 0.000), In at (0.000, 0.500, 0.250) and Mo at (0.000, 0.000, 0.500).

The calculation puts the formation energy at 0.345 eV/atom. The energy above the most stable polymorph in this dataset comes out at 0.101 eV/atom.

=====

A plane-wave DFT calculation with PBE-GGA was carried out for an optimized crystal structure of MnIn2Mo.

It has space group P4/mmm (No. 123), with a = 4.201 Å, b = 4.201 Å, c = 4.112 Å, α = 90.00°, β = 90.00° and γ = 90.00°. The asymmetric unit holds Mn at (0.000, 0.000, 0.000), In at (0.000, 0.500, 0.500) and Mo at (0.500, 0.500, 0.000).

The calculation puts the formation energy at 0.317 eV/atom. The energy above the most stable polymorph in this dataset comes out at 0.073 eV/atom.

=====

A plane-wave DFT calculation with PBE-GGA was carried out for an optimized crystal structure of MnInMo.

It has space group Fmm2 (No. 42), with a = 3.364 Å, b = 4.582 Å, c = 13.060 Å, α = 90.00°, β = 90.00° and γ = 90.00°. The asymmetric unit holds Mn at (0.000, 0.000, 0.000), In at (0.000, 0.000, 0.673) and Mo at (0.000, 0.000, 0.355).

The calculation puts the formation energy at 0.347 eV/atom.

=====

A plane-wave DFT calculation with PBE-GGA was carried out for an optimized crystal structure of MnInMo.

It has space group I4mm (No. 107), with a = 3.010 Å, b = 3.010 Å, c = 10.525 Å, α = 90.00°, β = 90.00° and γ = 90.00°. The asymmetric unit holds Mn at (0.000, 0.000, 0.000), In at (0.000, 0.000, 0.323) and Mo at (0.000, 0.000, 0.623).

The calculation puts the formation energy at 0.218 eV/atom.

=====

A plane-wave DFT calculation with PBE-GGA was carried out for an optimized crystal structure of MnInMo2.

It has space group Immm (No. 71), with a = 3.270 Å, b = 4.354 Å, c = 8.976 Å, α = 90.00°, β = 90.00° and γ = 90.00°. The asymmetric unit holds Mn at (0.000, 0.000, 0.000), In at (0.000, 0.000, 0.500) and Mo at (0.000, 0.500, 0.262).

The calculation puts the formation energy at 0.230 eV/atom.

=====

A plane-wave DFT calculation with PBE-GGA was carried out for an optimized crystal structure of MnIn2Mo.

It has space group Pmmm (No. 47), with a = 2.898 Å, b = 4.177 Å, c = 5.965 Å, α = 90.00°, β = 90.00° and γ = 90.00°. The asymmetric unit holds Mn at (0.000, 0.000, 0.000), In at (0.500, 0.500, 0.249) and Mo at (0.000, 0.000, 0.500).

The calculation puts the formation energy at 0.345 eV/atom. The energy above the most stable polymorph in this dataset comes out at 0.101 eV/atom.

=====

A plane-wave DFT calculation with PBE-GGA was carried out for an optimized crystal structure of MnIn2Mo2.

It has space group I4/mmm (No. 139), with a = 3.962 Å, b = 3.962 Å, c = 13.116 Å, α = 90.00°, β = 90.00° and γ = 90.00°. The asymmetric unit holds Mn at (0.000, 0.000, 0.000), In at (0.000, 0.500, 0.250) and Mo at (0.000, 0.000, 0.415).

The calculation puts the formation energy at 0.854 eV/atom. The energy above the most stable polymorph in this dataset comes out at 0.354 eV/atom.

=====

A plane-wave DFT calculation with PBE-GGA was carried out for an optimized crystal structure of MnIn2Mo.

It has space group Cmmm (No. 65), with a = 5.954 Å, b = 8.306 Å, c = 2.939 Å, α = 90.00°, β = 90.00° and γ = 90.00°. The asymmetric unit holds Mn at (0.000, 0.000, 0.000), In at (0.250, 0.250, 0.500) and Mo at (0.000, 0.500, 0.000).

The calculation puts the formation energy at 0.323 eV/atom. The energy above the most stable polymorph in this dataset comes out at 0.079 eV/atom.

=====

A plane-wave DFT calculation with PBE-GGA was carried out for an optimized crystal structure of MnInMo2.

It has space group R3m (No. 160, hexagonal axes), with a = 3.0333 Å, b = 3.0333 Å, c = 26.0561 Å, α = 90.00°, β = 90.00° and γ = 120.00°. The asymmetric unit holds Mn at (0.0000, 0.0000, 0.0000), In at (0.0000, 0.0000, 0.7560), Mo at (0.0000, 0.0000, 0.2568) and Mo at (0.0000, 0.0000, 0.5160).

The calculation puts the formation energy at 0.384 eV/atom.

=====

A plane-wave DFT calculation with PBE-GGA was carried out for an optimized crystal structure of MnInMo2.

It has space group P4mm (No. 99), with a = 3.258 Å, b = 3.258 Å, c = 6.256 Å, α = 90.00°, β = 90.00° and γ = 90.00°. The asymmetric unit holds Mn at (0.000, 0.000, 0.000), In at (0.500, 0.500, 0.738), Mo at (0.000, 0.000, 0.448) and Mo at (0.500, 0.500, 0.228).

The calculation puts the formation energy at 0.193 eV/atom.

=====

A plane-wave DFT calculation with PBE-GGA was carried out for an optimized crystal structure of MnInMo2.

It has space group C2/m (No. 12), with a = 5.410 Å, b = 9.067 Å, c = 2.756 Å, α = 90.00°, β = 105.72° and γ = 90.00°. The asymmetric unit holds Mn at (0.000, 0.000, 0.000), In at (0.000, 0.500, 0.000) and Mo at (0.250, 0.250, 0.500).

The calculation puts the formation energy at 0.357 eV/atom.

=====

A plane-wave DFT calculation with PBE-GGA was carried out for an optimized crystal structure of MnInMo2.

It has space group P2/m (No. 10), with a = 2.756 Å, b = 4.369 Å, c = 5.506 Å, α = 90.00°, β = 102.15° and γ = 90.00°. The asymmetric unit holds Mn at (0.000, 0.000, 0.000), In at (0.000, 0.000, 0.500) and Mo at (0.465, 0.500, 0.226).

The calculation puts the formation energy at 0.298 eV/atom.

=====

A plane-wave DFT calculation with PBE-GGA was carried out for an optimized crystal structure of MnIn2Mo.

It has space group R-3m (No. 166, hexagonal axes), with a = 3.0338 Å, b = 3.0338 Å, c = 27.8458 Å, α = 90.00°, β = 90.00° and γ = 120.00°. The asymmetric unit holds Mn at (0.0000, 0.0000, 0.0000), In at (0.0000, 0.0000, 0.2514) and Mo at (0.0000, 0.0000, 0.5000).

The calculation puts the formation energy at 0.409 eV/atom. The energy above the most stable polymorph in this dataset comes out at 0.165 eV/atom.

=====

A plane-wave DFT calculation with PBE-GGA was carried out for an optimized crystal structure of MnInNiMo2.

It has space group P4/mmm (No. 123), with a = 4.904 Å, b = 4.904 Å, c = 4.401 Å, α = 90.00°, β = 90.00° and γ = 90.00°. The asymmetric unit holds Mn at (0.000, 0.000, 0.000), In at (0.500, 0.500, 0.500), Ni at (0.500, 0.500, 0.000) and Mo at (0.000, 0.500, 0.500).

The calculation puts the formation energy at 2.524 eV/atom.

=====

A plane-wave DFT calculation with PBE-GGA was carried out for an optimized crystal structure of MnInMo2Pd.

It has space group P4/mmm (No. 123), with a = 4.428 Å, b = 4.428 Å, c = 4.746 Å, α = 90.00°, β = 90.00° and γ = 90.00°. The asymmetric unit holds Mn at (0.000, 0.000, 0.000), In at (0.500, 0.500, 0.500), Mo at (0.000, 0.500, 0.000) and Pd at (0.000, 0.000, 0.500).

The calculation puts the formation energy at 0.890 eV/atom.

=====

A plane-wave DFT calculation with PBE-GGA was carried out for an optimized crystal structure of MnInRe2Mo.

It has space group P4/mmm (No. 123), with a = 4.422 Å, b = 4.422 Å, c = 4.650 Å, α = 90.00°, β = 90.00° and γ = 90.00°. The asymmetric unit holds Mn at (0.000, 0.000, 0.000), In at (0.000, 0.000, 0.500), Re at (0.000, 0.500, 0.000) and Mo at (0.500, 0.500, 0.500).

The calculation puts the formation energy at 1.574 eV/atom.

=====

A plane-wave DFT calculation with PBE-GGA was carried out for an optimized crystal structure of Mn2InReMo.

It has space group P4/mmm (No. 123), with a = 4.473 Å, b = 4.473 Å, c = 4.841 Å, α = 90.00°, β = 90.00° and γ = 90.00°. The asymmetric unit holds Mn at (0.000, 0.500, 0.000), In at (0.000, 0.000, 0.000), Re at (0.500, 0.500, 0.500) and Mo at (0.000, 0.000, 0.500).

The calculation puts the formation energy at 2.704 eV/atom.

=====

A plane-wave DFT calculation with PBE-GGA was carried out for an optimized crystal structure of MnIn2MoS.

It has space group P4/mmm (No. 123), with a = 5.486 Å, b = 5.486 Å, c = 4.429 Å, α = 90.00°, β = 90.00° and γ = 90.00°. The asymmetric unit holds Mn at (0.000, 0.000, 0.000), In at (0.000, 0.500, 0.500), Mo at (0.000, 0.000, 0.500) and S at (0.500, 0.500, 0.000).

The value obtained for the formation energy (no corrections) is 1149 meV per atom.

=====

A plane-wave DFT calculation with PBE-GGA was carried out for an optimized crystal structure of Mn3InN3.

It has space group P2_1/m (No. 11), with a = 7.310 Å, b = 2.982 Å, c = 8.979 Å, α = 90.00°, β = 110.34° and γ = 90.00°. The asymmetric unit holds Mn at (0.160, 0.250, 0.316), Mn at (0.193, 0.250, 0.855), Mn at (0.304, 0.750, 0.163), In at (0.251, 0.750, 0.601), N at (0.065, 0.750, 0.187), N at (0.307, 0.750, 0.967) and N at (0.409, 0.250, 0.278).

The energy above the most stable polymorph in this dataset comes out at 0.000 eV/atom. The value obtained for the formation energy (no corrections) is -63 meV per atom.

=====

A plane-wave DFT calculation with PBE-GGA was carried out for an optimized crystal structure of MnInN2.

It has space group I-42d (No. 122), with a = 4.762 Å, b = 4.762 Å, c = 9.154 Å, α = 90.00°, β = 90.00° and γ = 90.00°. The asymmetric unit holds Mn at (0.000, 0.000, 0.000), In at (0.000, 0.000, 0.500) and N at (0.175, 0.250, 0.125).

The value obtained for the formation energy (no corrections) is 179 meV per atom.

=====

A plane-wave DFT calculation with PBE-GGA was carried out for an optimized crystal structure of MnIn3N.

It has space group Pm-3m (No. 221), with a = 5.090 Å, b = 5.090 Å, c = 5.090 Å, α = 90.00°, β = 90.00° and γ = 90.00°. The asymmetric unit holds Mn at (0.000, 0.000, 0.000), In at (0.000, 0.000, 0.500) and N at (0.500, 0.500, 0.500).

The energy above the most stable polymorph in this dataset comes out at 0.416 eV/atom. The value obtained for the formation energy (no corrections) is 1144 meV per atom.

=====

A plane-wave DFT calculation with PBE-GGA was carried out for an optimized crystal structure of MnIn2N.

It has space group I-42d (No. 122), with a = 6.598 Å, b = 6.598 Å, c = 6.791 Å, α = 90.00°, β = 90.00° and γ = 90.00°. The asymmetric unit holds Mn at (0.000, 0.000, 0.000), In at (0.184, 0.250, 0.625) and N at (0.000, 0.000, 0.500).

The value obtained for the formation energy (no corrections) is 557 meV per atom.

=====

A plane-wave DFT calculation with PBE-GGA was carried out for an optimized crystal structure of MnInN2.

It has space group R-3m (No. 166, hexagonal axes), with a = 2.9678 Å, b = 2.9678 Å, c = 19.3955 Å, α = 90.00°, β = 90.00° and γ = 120.00°. The asymmetric unit holds Mn at (0.0000, 0.0000, 0.0000), In at (0.0000, 0.0000, 0.5000) and N at (0.0000, 0.0000, 0.3852).

The value obtained for the formation energy (no corrections) is 193 meV per atom.

=====

A plane-wave DFT calculation with PBE-GGA was carried out for an optimized crystal structure of Mn2InN2.

It has space group P-3m1 (No. 164), with a = 3.2200 Å, b = 3.2200 Å, c = 7.4185 Å, α = 90.00°, β = 90.00° and γ = 120.00°. The asymmetric unit holds Mn at (0.3333, 0.6667, 0.3858), In at (0.0000, 0.0000, 0.0000) and N at (0.3333, 0.6667, 0.6513).

The value obtained for the formation energy (no corrections) is -63 meV per atom.

=====

A plane-wave DFT calculation with PBE-GGA was carried out for an optimized crystal structure of MnIn3N.

It has space group Pm-3m (No. 221), with a = 4.712 Å, b = 4.712 Å, c = 4.712 Å, α = 90.00°, β = 90.00° and γ = 90.00°. The asymmetric unit holds Mn at (0.000, 0.000, 0.000), In at (0.000, 0.500, 0.500) and N at (0.500, 0.500, 0.500).

The energy above the most stable polymorph in this dataset comes out at 0.000 eV/atom. The value obtained for the formation energy (no corrections) is 728 meV per atom.

=====

A plane-wave DFT calculation with PBE-GGA was carried out for an optimized crystal structure of Mn3In2N4.

It has space group C2/c (No. 15), with a = 12.706 Å, b = 7.293 Å, c = 6.252 Å, α = 90.00°, β = 112.21° and γ = 90.00°. The asymmetric unit holds Mn at (0.000, 0.183, 0.250), Mn at (0.144, 0.119, 0.090), In at (0.128, 0.391, 0.712), N at (0.044, 0.314, 0.037) and N at (0.124, 0.030, 0.347).

The value obtained for the formation energy (no corrections) is 124 meV per atom.

=====

A plane-wave DFT calculation with PBE-GGA was carried out for an optimized crystal structure of MnInN2.

It has space group R-3m (No. 166, hexagonal axes), with a = 3.3529 Å, b = 3.3529 Å, c = 17.8564 Å, α = 90.00°, β = 90.00° and γ = 120.00°. The asymmetric unit holds Mn at (0.0000, 0.0000, 0.0000), In at (0.0000, 0.0000, 0.5000) and N at (0.0000, 0.0000, 0.0995).

The value obtained for the formation energy (no corrections) is 579 meV per atom.

=====

| no. | V (Å³ per atom) |
| --- | --- |
| 1 | 16.40 |
| 2 | 18.29 |
| 3 | 18.14 |
| 4 | 16.78 |
| 5 | 15.89 |
| 6 | 15.97 |
| 7 | 18.06 |
| 8 | 20.58 |
| 9 | 18.17 |
| 10 | 17.30 |
| 11 | 16.61 |
| 12 | 16.27 |
| 13 | 16.20 |
| 14 | 18.50 |
| 15 | 21.17 |
| 16 | 18.61 |
| 17 | 18.19 |
| 18 | 19.37 |
| 19 | 26.66 |
| 20 | 13.11 |
| 21 | 12.97 |
| 22 | 26.37 |
| 23 | 18.48 |
| 24 | 12.33 |
| 25 | 13.32 |
| 26 | 20.93 |
| 27 | 14.90 |
| 28 | 14.49 |